No. 1
The following is a PBE+U calculation of a relaxed structure of NbMoO2F, from Alexandria.

Unit cell a=4.0472 b=4.0472 c=4.3088 alpha=90.00 beta=90.00 gamma=90.00
Last column: nearest neighbours and their distance in Å.
Sites, in units of the cell vectors:
O 0.0000 0.5000 0.0000  2 Nb 2.02
O 0.5000 0.0000 0.0000  2 Nb 2.02
F 0.0000 0.0000 0.5000  2 Nb 2.15
Nb 0.0000 0.0000 0.0000  4 O 2.02, 2 F 2.15
Mo 0.5000 0.5000 0.5000  4 F 2.86, 8 O 2.96

Values from the calculation:
**E_tot**: -36.238 eV per cell

---

No. 2
The following is a PBE+U calculation of a relaxed structure of NbMo2OsF, from Alexandria.

Unit cell a=5.0322 b=3.9460 c=5.0322 alpha=90.00 beta=90.00 gamma=90.00
Last column: nearest neighbours and their distance in Å.
Sites, in units of the cell vectors:
Mo 0.0000 0.0000 0.5000  2 Os 2.52
Mo 0.5000 0.0000 0.0000  2 Os 2.52
F 0.0000 0.5000 0.0000  2 Os 1.97
Os 0.0000 0.0000 0.0000  2 F 1.97
Nb 0.5000 0.5000 0.5000  8 Mo 3.20, 4 F 3.56

Values from the calculation:
**E_tot**: -30.799 eV per cell

---

No. 3
The following is a PBE+U calculation of a relaxed structure of NbMoPbF2, from Alexandria.

Unit cell a=4.1708 b=5.8242 c=4.1708 alpha=90.00 beta=90.00 gamma=90.00
Last column: nearest neighbours and their distance in Å.
Sites, in units of the cell vectors:
F 0.5000 0.0000 0.0000  2 Mo 2.09
F 0.0000 0.0000 0.5000  2 Mo 2.09
Mo 0.0000 0.0000 0.0000  4 F 2.09
Nb 0.0000 0.5000 0.0000  2 Mo 2.91, 4 Pb 2.95
Pb 0.5000 0.5000 0.5000  4 Nb 2.95

Values from the calculation:
**E_tot**: -27.894 eV per cell

---

Which formula does entry 2 have? NbMo2OsF

---

Look up the E_tot of the third one. -27.894 eV per cell

---

Repeat the third record exactly.
The following is a PBE+U calculation of a relaxed structure of NbMoPbF2, from Alexandria.

Unit cell a=4.1708 b=5.8242 c=4.1708 alpha=90.00 beta=90.00 gamma=90.00
Last column: nearest neighbours and their distance in Å.
Sites, in units of the cell vectors:
F 0.5000 0.0000 0.0000  2 Mo 2.09
F 0.0000 0.0000 0.5000  2 Mo 2.09
Mo 0.0000 0.0000 0.0000  4 F 2.09
Nb 0.0000 0.5000 0.0000  2 Mo 2.91, 4 Pb 2.95
Pb 0.5000 0.5000 0.5000  4 Nb 2.95

Values from the calculation:
**E_tot**: -27.894 eV per cell

---

Among the records above, which one has the lowest E_tot? NbMoO2F